This record from Alexandria via LeMat-Bulk describes a geometry-optimized Li2TmGe2 structure. The functional is PBE.

CIF file:
```
data_Li2TmGe2
_cell_length_a 3.9835
_cell_length_b 3.9835
_cell_length_c 11.5457
_cell_angle_alpha 90.00
_cell_angle_beta 90.00
_cell_angle_gamma 90.00
_symmetry_space_group_name_H-M 'I 4/m m m'
_symmetry_Int_Tables_number 139
_symmetry_space_group_name_Hall '-I 4 2'
loop_
_atom_site_label
_atom_site_fract_x
_atom_site_fract_y
_atom_site_fract_z
_atom_site_occupancy
Li1 0.0000 0.5000 0.2500 1
Tm1 0.0000 0.0000 0.0000 1
Ge1 0.0000 0.0000 0.3935 1
```

Calculated values
formation energy from the elements	-0.541	eV per atom
M_tot	0.00	μB per cell
D(E_F)	1.88	states/eV/f.u.